Entry 1:
# PBE CsSbCl4, relaxed
# M_tot	0.0	μB/f.u.
# V	212	Å³/f.u.
# formation energy (no corrections)	-1.287	eV per atom
data_CsSbCl4
_chemical_formula_sum 'Cs4 Sb4 Cl16'
_symmetry_space_group_name_H-M 'C 1 2/m 1'
_symmetry_Int_Tables_number 12
_cell_length_a 12.993
_cell_length_b 7.591
_cell_length_c 9.359
_cell_angle_alpha 90.00
_cell_angle_beta 113.04
_cell_angle_gamma 90.00
loop_
_symmetry_equiv_pos_as_xyz
'x,y,z'
'-x,-y,-z'
'-x,y,-z'
'x,-y,z'
'x+1/2,y+1/2,z'
'-x+1/2,-y+1/2,-z'
'-x+1/2,y+1/2,-z'
'x+1/2,-y+1/2,z'
loop_
_atom_site_label
_atom_site_type_symbol
_atom_site_fract_x
_atom_site_fract_y
_atom_site_fract_z
Cs1 Cs 0.114 0.000 0.343
Sb1 Sb 0.102 0.500 0.874
Cl1 Cl 0.000 0.248 0.000
Cl2 Cl 0.078 0.500 0.345
Cl3 Cl 0.168 0.255 0.747

Entry 2:
# PBE CsSb2Cl6, relaxed
# M_tot	0.0	μB/f.u.
# V	360	Å³/f.u.
# formation energy (no corrections)	-1.023	eV per atom
data_CsSb2Cl6
_chemical_formula_sum 'Cs2 Sb4 Cl12'
_symmetry_space_group_name_H-M 'C 1 2/m 1'
_symmetry_Int_Tables_number 12
_cell_length_a 13.441
_cell_length_b 5.827
_cell_length_c 10.437
_cell_angle_alpha 90.00
_cell_angle_beta 118.33
_cell_angle_gamma 90.00
loop_
_symmetry_equiv_pos_as_xyz
'x,y,z'
'-x,-y,-z'
'-x,y,-z'
'x,-y,z'
'x+1/2,y+1/2,z'
'-x+1/2,-y+1/2,-z'
'-x+1/2,y+1/2,-z'
'x+1/2,-y+1/2,z'
loop_
_atom_site_label
_atom_site_type_symbol
_atom_site_fract_x
_atom_site_fract_y
_atom_site_fract_z
Cs1 Cs 0.000 0.000 0.000
Sb1 Sb 0.179 0.000 0.582
Cl1 Cl 0.045 0.000 0.694
Cl2 Cl 0.156 0.500 0.171
Cl3 Cl 0.191 0.500 0.569

Number 1: total DFT energy (no corrections) -3.347 eV per atom. Number 2: total DFT energy (no corrections) -3.265 eV per atom.